5
Lattice="-3.550 -4.846 -0.342 2.705 -1.620 -5.124 4.559 -3.590 3.541" Properties=species:S:1:pos:R:3 comment="NaSrCa2F | Alexandria | GGA-PBE | optimized geometry" sg="P4/mmm (123)" e_form_raw_ev_per_atom=0.00 n_ef_per_ev_fu=4.2 total_magnetization_mub_per_fu=0.000 mass_density_g_cm3=1.4 pbc="T T T"
Ca -1.775 -2.423 -0.171
Ca 1.352 -0.810 -2.562
Sr 2.280 -1.795 1.770
Na 0.000 0.000 0.000
F 1.857 -5.028 -0.963

6
Lattice="5.050 0.000 0.000 -2.525 4.373 0.000 0.000 0.000 6.176" Properties=species:S:1:pos:R:3 comment="Pm3IrPd2 | Alexandria | GGA-PBE | optimized geometry" sg="P-3m1 (164)" n_ef_per_ev_fu=3.5 formation_enthalpy_0k_ev_per_atom=-0.7530 total_magnetization_mub_per_fu=0.000 mass_density_g_cm3=10.2 pbc="T T T"
Pd 0.000 2.915 4.026
Pm 0.000 2.915 0.962
Pd 2.525 1.458 2.150
Pm 2.525 1.458 5.214
Ir 0.000 0.000 0.000
Pm 0.000 0.000 3.088

5
Lattice="4.252 0.000 0.000 0.000 4.252 0.000 0.000 0.000 4.252" Properties=species:S:1:pos:R:3 comment="NaNi4 | Alexandria | GGA-PBE | optimized geometry" sg="Pm-3m (221)" n_ef_per_ev_fu=12.4 formation_enthalpy_0k_ev_per_atom=1.7971 total_magnetization_mub_per_fu=2.016 mass_density_g_cm3=5.6 pbc="T T T"
Na 2.126 2.126 2.126
Ni 2.126 0.000 2.126
Ni 2.126 2.126 0.000
Ni 0.000 2.126 2.126
Ni 0.000 0.000 0.000

8
Lattice="8.591 0.000 0.000 0.000 8.591 0.000 4.295 4.295 2.942" Properties=species:S:1:pos:R:3 comment="Mg2ScBi | Alexandria | GGA-PBE | optimized geometry" sg="I-42d (122)" n_ef_per_ev_fu=0.8 formation_enthalpy_0k_ev_per_atom=0.0018 total_magnetization_mub_per_fu=0.000 mass_density_g_cm3=4.6 pbc="T T T"
Sc 4.295 4.295 0.000
Mg 10.738 10.960 2.206
Sc 4.295 8.591 1.471
Mg 6.665 2.148 0.735
Bi 8.591 4.295 1.471
Bi 0.000 0.000 0.000
Mg 6.443 6.221 2.206
Mg 1.926 6.443 0.735

6
Lattice="-1.459 -2.577 -1.885 0.628 -2.263 2.609 -11.274 2.690 5.047" Properties=species:S:1:pos:R:3 comment="Tm4ZnCd | Alexandria | GGA-PBE | optimized geometry" sg="P4/mmm (123)" n_ef_per_ev_fu=8.3 formation_enthalpy_0k_ev_per_atom=-0.1965 total_magnetization_mub_per_fu=1.248 mass_density_g_cm3=9.1 pbc="T T T"
Tm -1.980 -2.047 1.062
Tm -3.779 0.902 1.692
Zn 0.000 0.000 0.000
Cd -6.053 -1.075 2.886
Tm -10.126 -0.103 4.709
Tm -8.327 -3.052 4.079

3
Lattice="4.462 0.000 0.000 2.231 3.864 0.000 2.231 1.288 3.643" Properties=species:S:1:pos:R:3 comment="YTcOs | Alexandria | GGA-PBE | optimized geometry" sg="F-43m (216)" n_ef_per_ev_fu=4.1 formation_enthalpy_0k_ev_per_atom=0.4511 total_magnetization_mub_per_fu=0.000 mass_density_g_cm3=10.0 pbc="T T T"
Os 6.693 3.864 2.732
Tc 0.000 0.000 0.000
Y 4.462 2.576 1.822

12
Lattice="4.403 0.000 0.000 0.000 4.396 -0.873 0.000 -0.065 11.178" Properties=species:S:1:pos:R:3 comment="Nb2Mo7W3 | Alexandria | GGA-PBE | optimized geometry" sg="Cmmm (65)" n_ef_per_ev_fu=10.2 formation_enthalpy_0k_ev_per_atom=0.3757 total_magnetization_mub_per_fu=0.000 mass_density_g_cm3=10.8 pbc="T T T"
Mo 0.000 1.222 6.150
Nb 0.000 3.704 7.146
W 2.201 2.820 2.694
Nb 0.000 0.627 3.159
Mo 0.000 0.000 0.000
W 2.201 2.198 -0.437
W 2.201 1.512 7.611
Mo 0.000 3.110 4.154
Mo 2.201 0.309 1.555
Mo 0.000 1.825 9.187
Mo 2.201 4.023 8.750
Mo 0.000 2.507 1.117

4
Lattice="2.754 -0.034 0.000 -0.540 2.701 0.000 0.000 0.000 9.487" Properties=species:S:1:pos:R:3 comment="CaMgTc2 | Alexandria | GGA-PBE | optimized geometry" sg="Cmmm (65)" n_ef_per_ev_fu=3.0 formation_enthalpy_0k_ev_per_atom=0.5197 total_magnetization_mub_per_fu=0.000 mass_density_g_cm3=6.1 pbc="T T T"
Tc 0.000 0.000 9.337
Ca 1.107 1.334 2.372
Mg 1.107 1.334 7.116
Tc 0.000 0.000 4.894

8
Lattice="-1.400 3.442 -1.848 -6.222 -0.615 3.567 0.461 3.539 6.242" Properties=species:S:1:pos:R:3 comment="TbPrPa2As4 | Alexandria | GGA-PBE | optimized geometry" sg="P2/m (10)" n_ef_per_ev_fu=7.8 formation_enthalpy_0k_ev_per_atom=-1.2749 total_magnetization_mub_per_fu=0.002 mass_density_g_cm3=8.7 pbc="T T T"
As -1.858 4.221 4.608
Tb -2.881 1.462 4.904
Pa -0.470 3.491 2.197
As -5.303 2.145 3.353
Pr -3.811 1.413 0.859
As -4.401 2.155 7.345
As -2.760 4.212 0.615
Pa 0.461 3.539 6.242

7
Lattice="-3.121 -3.258 1.602 -0.991 -1.267 -4.509 2.336 -6.377 -1.263" Properties=species:S:1:pos:R:3 comment="Zn4Co2Re | Alexandria | GGA-PBE | optimized geometry" sg="I4/mmm (139)" n_ef_per_ev_fu=6.1 formation_enthalpy_0k_ev_per_atom=0.9815 total_magnetization_mub_per_fu=3.864 mass_density_g_cm3=6.8 pbc="T T T"
Zn -0.496 -0.634 -2.255
Zn -2.296 -6.226 -2.828
Re 0.000 0.000 0.000
Co -0.496 -7.912 -2.750
Zn 0.520 -4.675 -1.342
Co -1.280 -2.990 -1.420
Zn -1.561 -1.629 0.801

4
Lattice="3.426 0.000 0.000 1.713 2.967 0.000 1.713 0.989 10.841" Properties=species:S:1:pos:R:3 comment="DyIn2Ge | Alexandria | GGA-PBE | optimized geometry" sg="R-3m (166)" n_ef_per_ev_fu=2.4 formation_enthalpy_0k_ev_per_atom=0.1860 total_magnetization_mub_per_fu=0.000 mass_density_g_cm3=7.0 pbc="T T T"
Ge 3.426 1.978 5.421
Dy 0.000 0.000 0.000
In 1.713 0.989 7.697
In 5.139 2.967 3.145

11
Lattice="4.061 -0.002 0.000 -0.003 4.865 0.009 2.012 2.437 15.235" Properties=species:S:1:pos:R:3 comment="Ac3Ag4Hg4 | Alexandria | GGA-PBE | optimized geometry" sg="P-1 (2)" n_ef_per_ev_fu=6.5 formation_enthalpy_0k_ev_per_atom=-0.3194 total_magnetization_mub_per_fu=0.000 mass_density_g_cm3=10.6 pbc="T T T"
Ac 2.017 4.871 10.847
Hg 2.022 2.433 7.328
Ag 4.043 4.867 13.840
Ag 2.028 2.433 1.405
Hg 4.049 4.867 7.917
Ag 2.020 4.865 5.734
Ag 4.051 2.435 9.511
Ac 4.054 2.429 4.397
Hg 4.052 2.435 12.351
Ac 2.012 2.437 15.235
Hg 2.019 4.866 2.894